Entry 1:
First-principles (GGA-PBE) data for an optimized crystal structure of Pm2HoOs, as listed in Alexandria via LeMat-Bulk.

The value obtained for the density of states at the Fermi level is 11.216 states/eV per cell. The value obtained for the relative energy among the computed polymorphs is 16 meV per atom. The formation energy is -155 meV/atom. The calculation puts the final energy at -0.23821 Ha/atom.

The structure belongs to space group Cmcm (No. 63); the cell edges are 4.0704, 11.9776 and 9.1839 Å and the angles 90.00°, 90.00° and 90.00°. Symmetry generates all atoms from Pm at (0.0000, 0.1420, 0.0669), Ho at (0.0000, 0.4211, 0.2500) and Os at (0.0000, 0.2391, 0.7500).


Entry 2:
First-principles (GGA-PBE) data for an optimized crystal structure of BaSrDyBiO6, as listed in Alexandria via LeMat-Bulk.

The value obtained for the density of states at the Fermi level is 0.000 states/eV per cell. The calculation puts the final energy at -0.24098 Ha/atom. As for the energy relative to the elements, uncorrected: -2.374 eV/atom.

The structure belongs to space group F-43m (No. 216); the cell edges are 8.6559, 8.6559 and 8.6559 Å and the angles 90.00°, 90.00° and 90.00°. Symmetry generates all atoms from Ba at (0.0000, 0.0000, 0.0000), Sr at (0.0000, 0.0000, 0.5000), Dy at (0.2500, 0.2500, 0.7500), Bi at (0.2500, 0.2500, 0.2500) and O at (0.0056, 0.2500, 0.2500).


Entry 3:
First-principles (GGA-PBE) data for an optimized crystal structure of Sc5InIr4, as listed in Alexandria via LeMat-Bulk.

The value obtained for the density of states at the Fermi level is 5.916 states/eV per cell. The formation energy is -892 meV/atom. The calculation puts the final energy at -0.28944 Ha/atom.

The structure belongs to space group P4/mmm (No. 123); the cell edges are 3.2767, 3.2767 and 16.7011 Å and the angles 90.00°, 90.00° and 90.00°. Symmetry generates all atoms from Sc at (0.0000, 0.0000, 0.0000), Sc at (0.0000, 0.0000, 0.1900), Sc at (0.0000, 0.0000, 0.3786), In at (0.5000, 0.5000, 0.5000), Ir at (0.5000, 0.5000, 0.0952) and Ir at (0.5000, 0.5000, 0.2878).


Entry 4:
First-principles (GGA-PBE) data for an optimized crystal structure of AcNd4As5, as listed in Alexandria via LeMat-Bulk.

The value obtained for the density of states at the Fermi level is 2.923 states/eV per cell. The formation energy is -1488 meV/atom. The calculation puts the final energy at -0.22530 Ha/atom.

The structure belongs to space group Immm (No. 71); the cell edges are 4.3294, 6.1304 and 21.6632 Å and the angles 90.00°, 90.00° and 90.00°. Symmetry generates all atoms from Ac at (0.0000, 0.0000, 0.0000), Nd at (0.0000, 0.0000, 0.2023), Nd at (0.0000, 0.0000, 0.3983), As at (0.0000, 0.5000, 0.0000), As at (0.0000, 0.5000, 0.1995) and As at (0.0000, 0.5000, 0.3946).


Entry 5:
First-principles (GGA-PBE) data for an optimized crystal structure of La2Pm4Sm5, as listed in Alexandria via LeMat-Bulk.

The value obtained for the density of states at the Fermi level is 33.689 states/eV per cell. The value obtained for the relative energy among the computed polymorphs is 0 meV per atom. The formation energy is 123 meV/atom. The calculation puts the final energy at -0.17071 Ha/atom.

The structure belongs to space group C2/m (No. 12); the cell edges are 24.6548, 3.6376 and 9.3506 Å and the angles 90.00°, 111.87° and 90.00°. Symmetry generates all atoms from La at (0.1124, 0.0000, 0.4268), Pm at (0.0420, 0.0000, 0.7059), Pm at (0.1826, 0.5000, 0.8354), Sm at (0.0000, 0.5000, 0.0000), Sm at (0.1297, 0.0000, 0.0742) and Sm at (0.2337, 0.5000, 0.3360).


Entry 6:
First-principles (GGA-PBE) data for an optimized crystal structure of CuSbMo2, as listed in Alexandria via LeMat-Bulk.

The value obtained for the density of states at the Fermi level is 6.347 states/eV per cell. The calculation puts the final energy at -0.25816 Ha/atom. As for the energy relative to the elements, uncorrected: 0.445 eV/atom.

The structure belongs to space group C2/m (No. 12); the cell edges are 5.4745, 8.6975 and 2.9044 Å and the angles 90.00°, 106.99° and 90.00°. Symmetry generates all atoms from Cu at (0.0000, 0.0000, 0.0000), Sb at (0.0000, 0.5000, 0.0000) and Mo at (0.2500, 0.2500, 0.5000).


Entry 7:
First-principles (GGA-PBE) data for an optimized crystal structure of BeFeAg2, as listed in Alexandria via LeMat-Bulk.

The value obtained for the density of states at the Fermi level is 8.080 states/eV per cell. The formation energy is 377 meV/atom. The calculation puts the final energy at -0.15053 Ha/atom.

The structure belongs to space group R-3m (No. 166, hexagonal axes); the cell edges are 2.7764, 2.7764 and 25.8317 Å and the angles 90.00°, 90.00° and 120.00°. Symmetry generates all atoms from Be at (0.0000, 0.0000, 0.0000), Fe at (0.0000, 0.0000, 0.5000) and Ag at (0.0000, 0.0000, 0.2568).


Entry 8:
First-principles (GGA-PBE) data for an optimized crystal structure of ZrHg2Pb, as listed in Alexandria via LeMat-Bulk.

The value obtained for the density of states at the Fermi level is 3.105 states/eV per cell. The formation energy is 18 meV/atom. The calculation puts the final energy at -0.11747 Ha/atom.

The structure belongs to space group P2/m (No. 10); the cell edges are 3.3846, 4.4450 and 6.3947 Å and the angles 90.00°, 90.06° and 90.00°. Symmetry generates all atoms from Zr at (0.0000, 0.0000, 0.0000), Hg at (0.4977, 0.5000, 0.7688) and Pb at (0.0000, 0.0000, 0.5000).


Entry 9:
First-principles (GGA-PBE) data for an optimized crystal structure of Dy4SbP2, as listed in Alexandria via LeMat-Bulk.

The value obtained for the density of states at the Fermi level is 18.470 states/eV per cell. The calculation puts the final energy at -0.22182 Ha/atom. As for the energy relative to the elements, uncorrected: -1.272 eV/atom.

The structure belongs to space group Cmcm (No. 63); the cell edges are 4.0918, 13.1642 and 13.4536 Å and the angles 90.00°, 90.00° and 90.00°. Symmetry generates all atoms from Dy at (0.0000, 0.0000, 0.0000), Dy at (0.0000, 0.2648, 0.1164), Dy at (0.0000, 0.4375, 0.7500), Sb at (0.0000, 0.1085, 0.7500) and P at (0.0000, 0.3656, 0.5591).


Entry 10:
First-principles (GGA-PBE) data for an optimized crystal structure of BaTeSe, as listed in Alexandria via LeMat-Bulk.

The value obtained for the relative energy among the computed polymorphs is 86 meV per atom. The calculation puts the final energy at -0.14861 Ha/atom. As for the energy relative to the elements, uncorrected: -1.194 eV/atom.

The structure belongs to space group I4mm (No. 107); the cell edges are 4.5770, 4.5770 and 11.5213 Å and the angles 90.00°, 90.00° and 90.00°. Symmetry generates all atoms from Ba at (0.0000, 0.0000, 0.0000), Te at (0.0000, 0.0000, 0.6344) and Se at (0.0000, 0.0000, 0.4067).


Entry 11:
First-principles (GGA-PBE) data for an optimized crystal structure of ErGaAu, as listed in Alexandria via LeMat-Bulk.

The value obtained for the density of states at the Fermi level is 19.508 states/eV per cell. The formation energy is -638 meV/atom. The calculation puts the final energy at -0.15657 Ha/atom.

The structure belongs to space group F-43m (No. 216); the cell edges are 6.5502, 6.5502 and 6.5502 Å and the angles 90.00°, 90.00° and 90.00°. Symmetry generates all atoms from Er at (0.0000, 0.0000, 0.0000), Ga at (0.0000, 0.0000, 0.5000) and Au at (0.2500, 0.2500, 0.7500).


Entry 12:
First-principles (GGA-PBE) data for an optimized crystal structure of Na2NbO, as listed in Alexandria via LeMat-Bulk.

The value obtained for the density of states at the Fermi level is 11.296 states/eV per cell. The calculation puts the final energy at -0.17388 Ha/atom. As for the energy relative to the elements, uncorrected: -0.315 eV/atom.

The structure belongs to space group I-42d (No. 122); the cell edges are 10.0582, 10.0582 and 3.9848 Å and the angles 90.00°, 90.00° and 90.00°. Symmetry generates all atoms from Na at (0.1081, 0.2500, 0.1250), Nb at (0.0000, 0.0000, 0.5000) and O at (0.0000, 0.0000, 0.0000).


Entry 13:
First-principles (GGA-PBE) data for an optimized crystal structure of Sr2Pd3PtAu12, as listed in Alexandria via LeMat-Bulk.

The value obtained for the density of states at the Fermi level is 17.934 states/eV per cell. The formation energy is 75 meV/atom. The calculation puts the final energy at -0.12854 Ha/atom.

The structure belongs to space group R-3m (No. 166, hexagonal axes); the cell edges are 8.9865, 8.9865 and 20.8232 Å and the angles 90.00°, 90.00° and 120.00°. Symmetry generates all atoms from Sr at (0.0000, 0.0000, 0.1242), Pd at (0.0000, 0.5000, 0.0000), Pt at (0.0000, 0.0000, 0.5000), Au at (0.0160, 0.5080, 0.1299) and Au at (0.0988, 0.5494, 0.4000).


Entry 14:
First-principles (GGA-PBE) data for an optimized crystal structure of Rb2GePbO4, as listed in Alexandria via LeMat-Bulk.

The value obtained for the density of states at the Fermi level is 0.000 states/eV per cell. The calculation puts the final energy at -0.19513 Ha/atom. As for the energy relative to the elements, uncorrected: -1.548 eV/atom.

The structure belongs to space group Pmn2_1 (No. 31); the cell edges are 8.0756, 6.5839 and 6.1201 Å and the angles 90.00°, 90.00° and 90.00°. Symmetry generates all atoms from Rb at (0.2399, 0.2378, 0.0000), Ge at (0.0000, 0.3366, 0.5000), Pb at (0.0000, 0.7325, 0.9996), O at (0.0000, 0.5001, 0.7383), O at (0.0000, 0.5038, 0.2646) and O at (0.1861, 0.1947, 0.4990).


Entry 15:
First-principles (GGA-PBE) data for an optimized crystal structure of Mn2Pd8Au, as listed in Alexandria via LeMat-Bulk.

The value obtained for the density of states at the Fermi level is 20.113 states/eV per cell. The value obtained for the relative energy among the computed polymorphs is 0 meV per atom. The formation energy is -165 meV/atom. The calculation puts the final energy at -0.21707 Ha/atom.

The structure belongs to space group C2/m (No. 12); the cell edges are 14.1287, 3.9854 and 6.3110 Å and the angles 90.00°, 106.60° and 90.00°. Symmetry generates all atoms from Mn at (0.2248, 0.0000, 0.1493), Pd at (0.0464, 0.0000, 0.2250), Pd at (0.0976, 0.5000, 0.9618), Pd at (0.1442, 0.0000, 0.7007), Pd at (0.1819, 0.5000, 0.4116) and Au at (0.0000, 0.5000, 0.5000).


Entry 16:
First-principles (GGA-PBE) data for an optimized crystal structure of Na2LiNi2, as listed in Alexandria via LeMat-Bulk.

The value obtained for the density of states at the Fermi level is 8.305 states/eV per cell. The value obtained for the relative energy among the computed polymorphs is 0 meV per atom. The formation energy is 496 meV/atom. The calculation puts the final energy at -0.10020 Ha/atom.

The structure belongs to space group P4/mbm (No. 127); the cell edges are 8.2687, 8.2687 and 2.7300 Å and the angles 90.00°, 90.00° and 90.00°. Symmetry generates all atoms from Na at (0.1912, 0.3088, 0.0000), Li at (0.0000, 0.0000, 0.5000) and Ni at (0.0973, 0.5973, 0.5000).


Entry 17:
First-principles (GGA-PBE) data for an optimized crystal structure of Ca2ScIn, as listed in Alexandria via LeMat-Bulk.

The value obtained for the density of states at the Fermi level is 3.245 states/eV per cell. The formation energy is -100 meV/atom. The calculation puts the final energy at -0.12379 Ha/atom.

The structure belongs to space group Pm (No. 6); the cell edges are 3.5602, 4.9037 and 7.0282 Å and the angles 90.00°, 98.82° and 90.00°. Symmetry generates all atoms from Ca at (0.0000, 0.0000, 0.0000), Ca at (0.4103, 0.5000, 0.6919), Sc at (0.8611, 0.0000, 0.4454) and In at (0.5042, 0.5000, 0.2346).


Entry 18:
First-principles (GGA-PBE) data for an optimized crystal structure of Y3As2O, as listed in Alexandria via LeMat-Bulk.

The value obtained for the density of states at the Fermi level is 11.156 states/eV per cell. The calculation puts the final energy at -0.27109 Ha/atom. As for the energy relative to the elements, uncorrected: -1.769 eV/atom.

The structure belongs to space group Cmc2_1 (No. 36); the cell edges are 11.0307, 7.3611 and 6.6098 Å and the angles 90.00°, 90.00° and 90.00°. Symmetry generates all atoms from Y at (0.0000, 0.1136, 0.0000), Y at (0.1563, 0.4879, 0.6294), As at (0.1610, 0.1737, 0.3641) and O at (0.0000, 0.4060, 0.8899).


Entry 19:
First-principles (GGA-PBE) data for an optimized crystal structure of SiAg2Pb, as listed in Alexandria via LeMat-Bulk.

The value obtained for the density of states at the Fermi level is 11.300 states/eV per cell. The value obtained for the relative energy among the computed polymorphs is 152 meV per atom. The calculation puts the final energy at -0.12091 Ha/atom. As for the energy relative to the elements, uncorrected: 0.418 eV/atom.

The structure belongs to space group F-43m (No. 216); the cell edges are 6.9600, 6.9600 and 6.9600 Å and the angles 90.00°, 90.00° and 90.00°. Symmetry generates all atoms from Si at (0.0000, 0.0000, 0.0000), Ag at (0.0000, 0.0000, 0.5000), Ag at (0.2500, 0.2500, 0.2500) and Pb at (0.2500, 0.2500, 0.7500).


Entry 20:
First-principles (GGA-PBE) data for an optimized crystal structure of Sr2Zn3Au5, as listed in Alexandria via LeMat-Bulk.

The value obtained for the density of states at the Fermi level is 16.651 states/eV per cell. The formation energy is -518 meV/atom. The calculation puts the final energy at -0.10567 Ha/atom.

The structure belongs to space group Ibam (No. 72); the cell edges are 10.6688, 12.7729 and 6.5449 Å and the angles 90.00°, 90.00° and 90.00°. Symmetry generates all atoms from Sr at (0.2298, 0.1326, 0.0000), Zn at (0.0000, 0.5000, 0.2500), Zn at (0.1022, 0.1367, 0.5000), Au at (0.0000, 0.0000, 0.2500), Au at (0.0000, 0.2737, 0.2500) and Au at (0.1610, 0.3989, 0.0000).